## w
## RbGeAu3Se4 (PBE)

Data for a relaxed RbGeAu3Se4 crystal.

Properties
The crystal system is monoclinic. As for the density: 6.665 g/cm³.

a = 6.398 Å, b = 7.760 Å, c = 10.855 Å
α = 90.00°, β = 100.07°, γ = 90.00°
Sites, in units of the cell vectors:
Rb  0.219  0.250  0.355
Rb  0.781  0.750  0.645
Ge  0.095  0.250  0.778
Ge  0.905  0.750  0.222
Au  0.364  0.559  0.083
Au  0.364  0.941  0.083
Au  0.473  0.750  0.329
Au  0.527  0.250  0.671
Au  0.636  0.059  0.917
Au  0.636  0.441  0.917
Se  0.041  0.750  0.022
Se  0.142  0.750  0.417
Se  0.303  0.510  0.766
Se  0.303  0.990  0.766
Se  0.697  0.010  0.234
Se  0.697  0.490  0.234
Se  0.858  0.250  0.583
Se  0.959  0.250  0.978


## x
## RbGeAu3Se4 (PBE)

Data for a relaxed RbGeAu3Se4 crystal.

Properties
The crystal system is cubic. As for the density: 6.082 g/cm³.

a = 6.625 Å, b = 6.625 Å, c = 6.625 Å
α = 90.00°, β = 90.00°, γ = 90.00°
Sites, in units of the cell vectors:
Rb  0.000  0.000  0.000
Ge  0.500  0.500  0.500
Au  0.000  0.500  0.500
Au  0.500  0.000  0.500
Au  0.500  0.500  0.000
Se  0.292  0.292  0.292
Se  0.292  0.708  0.708
Se  0.708  0.292  0.708
Se  0.708  0.708  0.292


What is the most stable structure shown above? It is w.